# HgF3 (GGA-PBE, relaxed)
data_HgF3
_cell_length_a 3.427
_cell_length_b 3.427
_cell_length_c 4.240
_cell_angle_alpha 90.00
_cell_angle_beta 90.00
_cell_angle_gamma 90.00
_symmetry_space_group_name_H-M 'P 4/m m m'
_symmetry_Int_Tables_number 123
_symmetry_space_group_name_Hall '-P 4 2'
loop_
_atom_site_label
_atom_site_fract_x
_atom_site_fract_y
_atom_site_fract_z
Hg1 0.000 0.000 0.000
F1 0.000 0.500 0.500
F2 0.500 0.500 0.000
# Crystal system: tetragonal
# Mass density: 8.588 g/cm³
# Total energy: -2.23 eV/atom
# Calculated volume: 12.45 A^3/atom
# Energy above the most stable polymorph in this dataset: 357 meV/atom
# Formation energy (no corrections): -751.3 meV/atom


# TaHgF2 (GGA-PBE, relaxed)
data_TaHgF2
_cell_length_a 3.0952
_cell_length_b 3.0952
_cell_length_c 29.2571
_cell_angle_alpha 90.00
_cell_angle_beta 90.00
_cell_angle_gamma 120.00
_symmetry_space_group_name_H-M 'R -3 m'
_symmetry_Int_Tables_number 166
_symmetry_space_group_name_Hall '-R 3 2"'
loop_
_atom_site_label
_atom_site_fract_x
_atom_site_fract_y
_atom_site_fract_z
Ta1 0.0000 0.0000 0.0000
Hg1 0.0000 0.0000 0.5000
F1 0.0000 0.0000 0.0647
# Crystal system: trigonal
# Mass density: 8.610 g/cm³
# Total energy: -5.54 eV/atom
# Calculated volume: 20.23 A^3/atom
# Energy above the most stable polymorph in this dataset: 0 meV/atom
# Formation energy (no corrections): -1569.3 meV/atom


# Pm3Sn2Rh6 (GGA-PBE, relaxed)
data_Pm3Sn2Rh6
_cell_length_a 9.605
_cell_length_b 9.605
_cell_length_c 9.605
_cell_angle_alpha 90.00
_cell_angle_beta 90.00
_cell_angle_gamma 90.00
_symmetry_space_group_name_H-M 'I m -3 m'
_symmetry_Int_Tables_number 229
_symmetry_space_group_name_Hall '-I 4 2 3'
loop_
_atom_site_label
_atom_site_fract_x
_atom_site_fract_y
_atom_site_fract_z
Pm1 0.000 0.000 0.291
Sn1 0.250 0.250 0.250
Rh1 0.000 0.349 0.349
# E_form: -0.68 eV/atom
# Crystal system: cubic
# Mass density: 9.667 g/cm³
# Total energy: -6.72 eV/atom
# Calculated volume: 20.14 A^3/atom


# EuAl2Ni (GGA-PBE, relaxed)
data_EuAl2Ni
_cell_length_a 3.088
_cell_length_b 3.088
_cell_length_c 7.591
_cell_angle_alpha 90.00
_cell_angle_beta 90.00
_cell_angle_gamma 90.00
_symmetry_space_group_name_H-M 'P 4/m m m'
_symmetry_Int_Tables_number 123
_symmetry_space_group_name_Hall '-P 4 2'
loop_
_atom_site_label
_atom_site_fract_x
_atom_site_fract_y
_atom_site_fract_z
Eu1 0.000 0.000 0.000
Al1 0.500 0.500 0.323
Ni1 0.000 0.000 0.500
# E_form: -0.34 eV/atom
# Crystal system: tetragonal
# Mass density: 6.071 g/cm³
# Total energy: -6.22 eV/atom
# Calculated volume: 18.10 A^3/atom


# Li2CaRe (GGA-PBE, relaxed)
data_Li2CaRe
_cell_length_a 6.865
_cell_length_b 6.865
_cell_length_c 6.865
_cell_angle_alpha 90.00
_cell_angle_beta 90.00
_cell_angle_gamma 90.00
_symmetry_space_group_name_H-M 'F -4 3 m'
_symmetry_Int_Tables_number 216
_symmetry_space_group_name_Hall 'F -4 2 3'
loop_
_atom_site_label
_atom_site_fract_x
_atom_site_fract_y
_atom_site_fract_z
Li1 0.000 0.000 0.000
Li2 0.250 0.250 0.250
Ca1 0.000 0.000 0.500
Re1 0.250 0.250 0.750
# E_form: 0.86 eV/atom
# Crystal system: cubic
# Mass density: 4.930 g/cm³
# Total energy: -3.71 eV/atom
# Calculated volume: 20.22 A^3/atom
# Energy above the most stable polymorph in this dataset: 390 meV/atom


# OsS2I (GGA-PBE, relaxed)
data_OsS2I
_cell_length_a 2.9789
_cell_length_b 2.9789
_cell_length_c 37.5988
_cell_angle_alpha 90.00
_cell_angle_beta 90.00
_cell_angle_gamma 120.00
_symmetry_space_group_name_H-M 'R -3 m'
_symmetry_Int_Tables_number 166
_symmetry_space_group_name_Hall '-R 3 2"'
loop_
_atom_site_label
_atom_site_fract_x
_atom_site_fract_y
_atom_site_fract_z
Os1 0.0000 0.0000 0.0000
S1 0.0000 0.0000 0.0592
I1 0.0000 0.0000 0.5000
# Crystal system: trigonal
# Mass density: 6.573 g/cm³
# Total energy: -4.57 eV/atom
# Calculated volume: 24.08 A^3/atom
# Energy above the most stable polymorph in this dataset: 680 meV/atom
# Formation energy (no corrections): 690.7 meV/atom


# CoReBr4 (GGA-PBE, relaxed)
data_CoReBr4
_cell_length_a 8.765
_cell_length_b 8.765
_cell_length_c 8.765
_cell_angle_alpha 90.00
_cell_angle_beta 90.00
_cell_angle_gamma 90.00
_symmetry_space_group_name_H-M 'F -4 3 m'
_symmetry_Int_Tables_number 216
_symmetry_space_group_name_Hall 'F -4 2 3'
loop_
_atom_site_label
_atom_site_fract_x
_atom_site_fract_y
_atom_site_fract_z
Co1 0.000 0.000 0.000
Re1 0.250 0.250 0.750
Br1 0.126 0.126 0.374
# Crystal system: cubic
# Mass density: 5.570 g/cm³
# Total energy: -2.51 eV/atom
# Calculated volume: 28.06 A^3/atom
# Formation energy (no corrections): 1867.2 meV/atom


# Y2HfSiS (GGA-PBE, relaxed)
data_Y2HfSiS
_cell_length_a 5.108
_cell_length_b 5.108
_cell_length_c 4.708
_cell_angle_alpha 90.00
_cell_angle_beta 90.00
_cell_angle_gamma 90.00
_symmetry_space_group_name_H-M 'P 4/m m m'
_symmetry_Int_Tables_number 123
_symmetry_space_group_name_Hall '-P 4 2'
loop_
_atom_site_label
_atom_site_fract_x
_atom_site_fract_y
_atom_site_fract_z
Y1 0.000 0.500 0.000
Hf1 0.000 0.000 0.500
Si1 0.500 0.500 0.500
S1 0.000 0.000 0.000
# Crystal system: tetragonal
# Mass density: 5.629 g/cm³
# Total energy: -6.92 eV/atom
# Calculated volume: 24.57 A^3/atom
# Formation energy (no corrections): -437.8 meV/atom


# LaAgTe4Pb2 (GGA-PBE, relaxed)
data_LaAgTe4Pb2
_cell_length_a 7.772
_cell_length_b 4.576
_cell_length_c 8.044
_cell_angle_alpha 90.00
_cell_angle_beta 109.80
_cell_angle_gamma 90.00
_symmetry_space_group_name_H-M 'P 1 2/m 1'
_symmetry_Int_Tables_number 10
loop_
_symmetry_equiv_pos_as_xyz
'x,y,z'
'-x,-y,-z'
'-x,y,-z'
'x,-y,z'
loop_
_atom_site_label
_atom_site_fract_x
_atom_site_fract_y
_atom_site_fract_z
La1 0.000 0.000 0.000
Ag1 0.500 0.500 0.000
Te1 0.252 0.500 0.244
Te2 0.265 0.000 0.767
Pb1 0.000 0.500 0.500
Pb2 0.500 0.000 0.500
# Crystal system: monoclinic
# Mass density: 7.228 g/cm³
# Total energy: -4.12 eV/atom
# Calculated volume: 33.65 A^3/atom
# Formation energy (no corrections): -653.4 meV/atom


# Ac2MgIn6Cu (GGA-PBE, relaxed)
data_Ac2MgIn6Cu
_cell_length_a 7.0932
_cell_length_b 7.0932
_cell_length_c 38.3493
_cell_angle_alpha 90.00
_cell_angle_beta 90.00
_cell_angle_gamma 120.00
_symmetry_space_group_name_H-M 'R -3 m'
_symmetry_Int_Tables_number 166
_symmetry_space_group_name_Hall '-R 3 2"'
loop_
_atom_site_label
_atom_site_fract_x
_atom_site_fract_y
_atom_site_fract_z
Ac1 0.0000 0.0000 0.1072
Ac2 0.0000 0.0000 0.2800
Mg1 0.0000 0.0000 0.4259
In1 0.0344 0.5172 0.3004
In2 0.0554 0.5277 0.8637
Cu1 0.0000 0.0000 0.0000
Cu2 0.0000 0.0000 0.5000
# E_form: -0.24 eV/atom
# Crystal system: trigonal
# Mass density: 7.338 g/cm³
# Total energy: -3.28 eV/atom
# Calculated volume: 27.85 A^3/atom


# Ca2LaMn (GGA-PBE, relaxed)
data_Ca2LaMn
_cell_length_a 3.6722
_cell_length_b 3.6722
_cell_length_c 33.4613
_cell_angle_alpha 90.00
_cell_angle_beta 90.00
_cell_angle_gamma 120.00
_symmetry_space_group_name_H-M 'R -3 m'
_symmetry_Int_Tables_number 166
_symmetry_space_group_name_Hall '-R 3 2"'
loop_
_atom_site_label
_atom_site_fract_x
_atom_site_fract_y
_atom_site_fract_z
Ca1 0.0000 0.0000 0.2363
La1 0.0000 0.0000 0.0000
Mn1 0.0000 0.0000 0.5000
# E_form: 0.39 eV/atom
# Crystal system: trigonal
# Mass density: 3.493 g/cm³
# Total energy: -4.13 eV/atom
# Calculated volume: 32.56 A^3/atom
# Energy above the most stable polymorph in this dataset: 201 meV/atom


# Hf2TcHgIr (GGA-PBE, relaxed)
data_Hf2TcHgIr
_cell_length_a 5.059
_cell_length_b 5.059
_cell_length_c 4.839
_cell_angle_alpha 90.00
_cell_angle_beta 90.00
_cell_angle_gamma 90.00
_symmetry_space_group_name_H-M 'P 4/m m m'
_symmetry_Int_Tables_number 123
_symmetry_space_group_name_Hall '-P 4 2'
loop_
_atom_site_label
_atom_site_fract_x
_atom_site_fract_y
_atom_site_fract_z
Hf1 0.000 0.500 0.000
Tc1 0.000 0.000 0.500
Hg1 0.000 0.000 0.000
Ir1 0.500 0.500 0.500
# E_form: 1.87 eV/atom
# Crystal system: tetragonal
# Mass density: 11.367 g/cm³
# Total energy: -6.02 eV/atom
# Calculated volume: 24.77 A^3/atom
# Energy above the most stable polymorph in this dataset: 18 meV/atom


# TaTcCl (GGA-PBE, relaxed)
data_TaTcCl
_cell_length_a 4.3501
_cell_length_b 4.3501
_cell_length_c 2.9496
_cell_angle_alpha 90.00
_cell_angle_beta 90.00
_cell_angle_gamma 120.00
_symmetry_space_group_name_H-M 'P 3 m 1'
_symmetry_Int_Tables_number 156
loop_
_symmetry_equiv_pos_as_xyz
'x,y,z'
'-y,x-y,z'
'-x+y,-x,z'
'-y,-x,z'
'-x+y,y,z'
'x,x-y,z'
loop_
_atom_site_label
_atom_site_fract_x
_atom_site_fract_y
_atom_site_fract_z
Ta1 0.0000 0.0000 0.0000
Tc1 0.6667 0.3333 0.5969
Cl1 0.3333 0.6667 0.8828
# Crystal system: trigonal
# Mass density: 10.800 g/cm³
# Total energy: -7.69 eV/atom
# Calculated volume: 16.11 A^3/atom
# Energy above the most stable polymorph in this dataset: 462 meV/atom
# Formation energy (no corrections): 327.9 meV/atom